Density functional theory data (PBE-GGA) for crystalline LiOs5 at its relaxed geometry.

Structure (CIF):
```
data_LiOs5
_chemical_formula_sum 'Li2 Os10'
_space_group_name_H-M_alt 'C 1 m 1'
_space_group_IT_number 8
_space_group_name_Hall 'C -2y'
_cell_length_a 9.915
_cell_length_b 2.743
_cell_length_c 6.419
_cell_angle_alpha 90.00
_cell_angle_beta 104.48
_cell_angle_gamma 90.00
loop_
_atom_site_label
_atom_site_fract_x
_atom_site_fract_y
_atom_site_fract_z
Li1 0.000 0.000 0.000
Os1 0.048 0.000 0.613
Os2 0.158 0.500 0.334
Os3 0.226 0.500 0.935
Os4 0.323 0.000 0.659
Os5 0.377 0.000 0.275
```

Energy relative to the lowest polymorph listed for this composition, eV per formula unit: 0.10
ΔE_f, eV/f.u.: 1.096



Density functional theory data (PBE-GGA) for crystalline LiOs3 at its relaxed geometry.

Structure (CIF):
```
data_LiOs3
_chemical_formula_sum 'Li1 Os3'
_space_group_name_H-M_alt 'P 4/m m m'
_space_group_IT_number 123
_space_group_name_Hall '-P 4 2'
_cell_length_a 2.877
_cell_length_b 2.877
_cell_length_c 6.329
_cell_angle_alpha 90.00
_cell_angle_beta 90.00
_cell_angle_gamma 90.00
loop_
_atom_site_label
_atom_site_fract_x
_atom_site_fract_y
_atom_site_fract_z
Li1 0.000 0.000 0.000
Os1 0.000 0.000 0.500
Os2 0.500 0.500 0.227
```

ΔE_f, eV/f.u.: 1.485



Density functional theory data (PBE-GGA) for crystalline Li3Os at its relaxed geometry.

Structure (CIF):
```
data_Li3Os
_chemical_formula_sum 'Li12 Os4'
_space_group_name_H-M_alt 'P 63/m m c'
_space_group_IT_number 194
_space_group_name_Hall '-P 6c 2c'
_cell_length_a 5.2541
_cell_length_b 5.2541
_cell_length_c 8.8323
_cell_angle_alpha 90.00
_cell_angle_beta 90.00
_cell_angle_gamma 120.00
loop_
_atom_site_label
_atom_site_fract_x
_atom_site_fract_y
_atom_site_fract_z
Li1 0.0000 0.5000 0.0000
Li2 0.1584 0.3168 0.2500
Os1 0.0000 0.0000 0.0000
Os2 0.3333 0.6667 0.7500
```

Energy relative to the lowest polymorph listed for this composition, eV per formula unit: 1.81
ΔE_f, eV/f.u.: 2.255



Calculated volume / Å³/cell: 169.0, 52.4, 211.2